{"formula": "V2Ni8Rh", "functional": "PBE", "state": "relaxed", "energy_ev_per_atom": -6.4935, "space_group": "No. 71", "formation_energy_ev_per_atom": 0.04, "cell": [[-2.160, 2.446, 6.218], [2.160, -2.446, 6.218], [2.160, 2.446, -6.218]], "species": ["V", "V", "Ni", "Ni", "Ni", "Ni", "Ni", "Ni", "Ni", "Ni", "Rh"], "fractional_positions": [[0.182, 0.182, 0.000], [0.818, 0.818, 0.000], [0.000, 0.247, 0.247], [0.000, 0.753, 0.753], [0.129, 0.365, 0.764], [0.299, 0.799, 0.500], [0.399, 0.635, 0.764], [0.601, 0.365, 0.236], [0.701, 0.201, 0.500], [0.871, 0.635, 0.236], [0.500, 0.000, 0.500]]}